Record 1
Entry from the Alexandria database: crystalline HfTiMnMo at its relaxed geometry (GGA-PBE).

Results
The energy relative to the elements comes out at -0.0504 eV per atom. As for the raw total energy: -9.51 eV per atom.

Lattice parameters (Å, degrees): 4.5174 4.5174 4.5174 60.00 60.00 60.00
Closest atoms and distances in Å follow each position.
Element x y z (fractional)
Mo1 0.5000 0.5000 0.5000  4 Ti 2.77, 4 Hf 2.77
Mn1 0.0000 0.0000 0.0000  4 Hf 2.77, 4 Ti 2.77
Hf1 0.7500 0.7500 0.7500  4 Mo 2.77, 4 Mn 2.77
Ti1 0.2500 0.2500 0.2500  4 Mo 2.77, 4 Mn 2.77

---

Record 2
Entry from the Alexandria database: crystalline Sr2ZrS at its relaxed geometry (GGA-PBE).

Results
The formation energy from raw total energies is -35.3 kJ per mole of atoms. As for the raw total energy: -4.38 eV per atom.

Lattice parameters (Å, degrees): 10.8632 10.8632 8.0751 47.73 47.73 90.00
Closest atoms and distances in Å follow each position.
Element x y z (fractional)
Sr1 0.4792 0.1250 0.2500  2 S 3.01
Sr2 0.2708 0.6250 0.2500  2 S 3.01
Sr3 0.3750 0.5208 0.7500  2 S 3.01
Sr4 0.8750 0.7292 0.7500  2 S 3.01
S1 0.5000 0.5000 0.0000  2 Zr 2.49
S2 0.2500 0.7500 0.5000  2 Zr 2.49
Zr1 0.0000 0.0000 0.0000  2 S 2.49
Zr2 0.7500 0.2500 0.5000  2 S 2.49

---

Record 3
Entry from the Alexandria database: crystalline Sm2Er3PuS6 at its relaxed geometry (GGA-PBE).

Results
The formation energy from raw total energies is -190.2 kJ per mole of atoms. As for the raw total energy: -7.16 eV per atom.

Lattice parameters (Å, degrees): 3.8996 7.9105 8.7984 103.52 102.80 90.00
Closest atoms and distances in Å follow each position.
Element x y z (fractional)
Sm1 0.8349 0.6692 0.6698  6 S 2.81-2.84
Sm2 0.1651 0.3308 0.3302  6 S 2.81-2.84
Er1 0.5000 0.5000 0.0000  6 S 2.74-2.75
Er2 0.8335 0.1642 0.6671  6 S 2.72-2.74
Er3 0.1665 0.8358 0.3329  6 S 2.72-2.74
Pu1 0.5000 0.0000 0.0000  6 S 2.81
S1 0.3312 0.9238 0.6624  3 Er 2.72-2.74, 1 Pu 2.81, 2 Sm 2.81
S2 0.6643 0.5914 0.3285  3 Er 2.74, 3 Sm 2.84
S3 0.6688 0.0762 0.3376  3 Er 2.72-2.74, 1 Pu 2.81, 2 Sm 2.81
S4 0.9967 0.2540 0.9934  3 Er 2.72-2.75, 1 Sm 2.81, 2 Pu 2.81
S5 0.0033 0.7460 0.0066  3 Er 2.72-2.75, 1 Sm 2.81, 2 Pu 2.81
S6 0.3357 0.4086 0.6715  3 Er 2.74, 3 Sm 2.84

---

Record 4
Entry from the Alexandria database: crystalline RbNa3Pa4Se12 at its relaxed geometry (GGA-PBE).

Results
The formation energy from raw total energies is -125.3 kJ per mole of atoms. As for the raw total energy: -5.53 eV per atom.

Lattice parameters (Å, degrees): 9.2404 9.2404 9.2404 109.47 109.47 109.47
Closest atoms and distances in Å follow each position.
Element x y z (fractional)
Rb1 0.0000 0.0000 0.0000  12 Se 3.78
Na1 0.0000 0.5000 0.5000  4 Se 3.02
Na2 0.5000 0.5000 0.0000  4 Se 3.02
Na3 0.5000 0.0000 0.5000  4 Se 3.02
Pa1 0.5000 0.0000 0.0000  6 Se 2.77
Pa2 0.5000 0.5000 0.5000  6 Se 2.77
Pa3 0.0000 0.5000 0.0000  6 Se 2.77
Pa4 0.0000 0.0000 0.5000  6 Se 2.77
Se1 0.2952 0.8043 0.0995  2 Pa 2.77, 1 Na 3.02
Se2 0.7048 0.1957 0.9005  2 Pa 2.77, 1 Na 3.02
Se3 0.7048 0.8043 0.5092  2 Pa 2.77, 1 Na 3.02
Se4 0.9005 0.7048 0.1957  2 Pa 2.77, 1 Na 3.02
Se5 0.8043 0.0995 0.2952  2 Pa 2.77, 1 Na 3.02
Se6 0.1957 0.4908 0.2952  2 Pa 2.77, 1 Na 3.02
Se7 0.4908 0.2952 0.1957  2 Pa 2.77, 1 Na 3.02
Se8 0.1957 0.9005 0.7048  2 Pa 2.77, 1 Na 3.02
Se9 0.2952 0.1957 0.4908  2 Pa 2.77, 1 Na 3.02
Se10 0.0995 0.2952 0.8043  2 Pa 2.77, 1 Na 3.02
Se11 0.8043 0.5092 0.7048  2 Pa 2.77, 1 Na 3.02
Se12 0.5092 0.7048 0.8043  2 Pa 2.77, 1 Na 3.02

---

Record 5
Entry from the Alexandria database: crystalline Na2FeHgBr6 at its relaxed geometry (GGA-PBE).

Results
The formation energy from raw total energies is -79.9 kJ per mole of atoms. As for the raw total energy: -2.97 eV per atom.

Lattice parameters (Å, degrees): 7.2577 7.2582 7.5843 61.40 61.42 59.98
Closest atoms and distances in Å follow each position.
Element x y z (fractional)
Na1 0.5270 0.5269 0.4191  6 Br 2.97-3.05
Na2 0.0169 0.0169 0.9493  6 Br 2.94-3.02
Fe1 0.3222 0.3222 0.0334  6 Br 2.57-2.67
Hg1 0.8148 0.8151 0.5550  6 Br 2.84-3.04
Br1 0.5695 0.2101 0.2491  1 Fe 2.58
Br2 0.2102 0.9714 0.2490  1 Fe 2.57
Br3 0.9714 0.5694 0.2490  1 Fe 2.57
Br4 0.4324 0.6862 0.7704  1 Fe 2.67, 1 Hg 2.84, 1 Na 2.94
Br5 0.6862 0.1108 0.7705  1 Fe 2.67, 1 Hg 2.84, 1 Na 2.94
Br6 0.1109 0.4325 0.7703  1 Fe 2.67, 1 Hg 2.84, 1 Na 2.94

---

Record 6
Entry from the Alexandria database: crystalline LiAl2Cd2Au5 at its relaxed geometry (GGA-PBE).

Results
The energy relative to the elements comes out at -0.2503 eV per atom. As for the raw total energy: -3.01 eV per atom.

Lattice parameters (Å, degrees): 3.6856 10.0191 10.0191 90.00 90.00 90.00
Closest atoms and distances in Å follow each position.
Element x y z (fractional)
Li1 0.0000 0.0000 0.0000  8 Au 2.76
Li2 0.0000 0.5000 0.5000  8 Au 2.76
Al1 0.0000 0.1360 0.6360  6 Au 2.67, 1 Cd 2.69
Al2 0.0000 0.8640 0.3640  6 Au 2.67, 1 Cd 2.69
Al3 0.0000 0.6360 0.8640  6 Au 2.67, 1 Cd 2.69
Al4 0.0000 0.3640 0.1360  6 Au 2.67, 1 Cd 2.69
Cd1 0.0000 0.6740 0.1740  1 Al 2.69
Cd2 0.0000 0.3260 0.8260  1 Al 2.69
Cd3 0.0000 0.1740 0.3260  1 Al 2.69
Cd4 0.0000 0.8260 0.6740  1 Al 2.69
Au1 0.5000 0.2023 0.0305  2 Al 2.67, 2 Li 2.76, 2 Au 2.90
Au2 0.5000 0.7977 0.9695  2 Al 2.67, 2 Li 2.76, 2 Au 2.90
Au3 0.5000 0.0305 0.7977  2 Al 2.67, 2 Li 2.76, 2 Au 2.90
Au4 0.5000 0.7023 0.4695  2 Al 2.67, 2 Li 2.76, 2 Au 2.90
Au5 0.5000 0.9695 0.2023  2 Al 2.67, 2 Li 2.76, 2 Au 2.90
Au6 0.5000 0.2977 0.5305  2 Al 2.67, 2 Li 2.76, 2 Au 2.90
Au7 0.5000 0.5305 0.7023  2 Al 2.67, 2 Li 2.76, 2 Au 2.90
Au8 0.5000 0.4695 0.2977  2 Al 2.67, 2 Li 2.76, 2 Au 2.90
Au9 0.5000 0.5000 0.0000  4 Al 2.67
Au10 0.5000 0.0000 0.5000  4 Al 2.67